# PrNd5Ga3

A relaxed PrNd5Ga3 crystal (PBE-GGA, Alexandria via LeMat-Bulk).

Computed properties:
The space group is P6_3/mcm (193). The value obtained for the formation enthalpy at 0 K is -353 meV per atom. The value obtained for the magnetization is 0.00 μB per cell. Its raw total energy is -81.8 eV per cell. The calculation puts the density of states at the Fermi level at 21.9 states/eV per cell.

Unit cell a=6.855 b=9.230 c=9.228 alpha=120.00 beta=90.00 gamma=90.00
Fractional coordinates of all 18 atoms:
Ga: 0.750 0.000 0.664
Ga: 0.750 0.336 0.336
Ga: 0.750 0.664 0.000
Ga: 0.250 0.664 0.664
Ga: 0.250 0.000 0.336
Ga: 0.250 0.336 0.000
Nd: 0.000 0.333 0.666
Nd: 0.250 0.668 0.000
Nd: 0.750 0.668 0.668
Nd: 0.250 0.000 0.668
Nd: 0.750 0.000 0.332
Nd: 0.250 0.332 0.332
Nd: 0.750 0.332 0.000
Nd: 0.500 0.667 0.334
Nd: 0.000 0.667 0.334
Nd: 0.500 0.333 0.666
Pr: 0.000 0.000 0.000
Pr: 0.500 0.000 0.000